Record 1
VASP calculation (PBE) on crystalline Na3Br2F at its relaxed geometry.

a b c (Å): 3.8766 5.7849 6.9846
angles (deg): 114.46 106.11 90.00
Last column: nearest neighbours and their distance in Å.
Sites, in units of the cell vectors:
1 Na 0.8679 0.3679 0.2358  2 F 2.51
2 Na 0.1321 0.6321 0.7642  2 F 2.51
3 Na 0.5000 0.0000 0.5000  4 Br 2.83, 2 F 2.89
4 Br 0.8292 0.8292 0.1585  6 Na 2.83-3.08
5 Br 0.1708 0.1708 0.8415  6 Na 2.83-3.08
6 F 0.5000 0.5000 0.5000  4 Na 2.51

Properties
spin magnetization	0.00	Bohr magnetons per cell
SG	Immm
energy relative to the elements, uncorrected	-11.1	eV per formula unit
mass density	3.03	g/cm³


Record 2
VASP calculation (PBE) on crystalline Na2BrF at its relaxed geometry.

a b c (Å): 4.7658 4.7658 4.7658
angles (deg): 60.00 60.00 60.00
Last column: nearest neighbours and their distance in Å.
Sites, in units of the cell vectors:
1 Na 0.2500 0.2500 0.2500  4 F 2.92, 4 Br 2.92
2 Na 0.7500 0.7500 0.7500  4 F 2.92, 4 Br 2.92
3 Br 0.5000 0.5000 0.5000  8 Na 2.92
4 F 0.0000 0.0000 0.0000  8 Na 2.92

Properties
spin magnetization	0.00	Bohr magnetons per cell
SG	Fm-3m
E above lowest polymorph	0.271	eV per atom
energy relative to the elements, uncorrected	-7.4	eV per formula unit
mass density	3.14	g/cm³


Record 3
VASP calculation (PBE) on crystalline Na2BrF6 at its relaxed geometry.

a b c (Å): 6.2020 5.7043 8.1996
angles (deg): 90.00 106.51 90.00
Last column: nearest neighbours and their distance in Å.
Sites, in units of the cell vectors:
1 Na 0.9416 0.3908 0.7978  5 F 2.30-2.56
2 Na 0.5584 0.8908 0.7022  5 F 2.30-2.56
3 Na 0.4416 0.1092 0.2978  5 F 2.30-2.56
4 Na 0.0584 0.6092 0.2022  5 F 2.30-2.56
5 Br 0.5000 0.5000 0.0000  4 F 1.90-1.91
6 Br 0.0000 0.0000 0.5000  4 F 1.90-1.91
7 F 0.8227 0.9235 0.2764  1 Br 1.90
8 F 0.8717 0.7379 0.5842  1 Br 1.91
9 F 0.8050 0.6890 0.9281  3 Na 2.30-2.39, 1 Br 2.39
10 F 0.6950 0.1890 0.5719  3 Na 2.30-2.39, 1 Br 2.39
11 F 0.6283 0.2379 0.9158  1 Br 1.91
12 F 0.6773 0.4235 0.2236  1 Br 1.90
13 F 0.1773 0.0765 0.7236  1 Br 1.90
14 F 0.1283 0.2621 0.4158  1 Br 1.91
15 F 0.1950 0.3110 0.0719  3 Na 2.30-2.39, 1 Br 2.39
16 F 0.3050 0.8110 0.4281  3 Na 2.30-2.39, 1 Br 2.39
17 F 0.3717 0.7621 0.0842  1 Br 1.91
18 F 0.3227 0.5765 0.7764  1 Br 1.90

Properties
spin magnetization	2.00	Bohr magnetons per cell
SG	P2_1/c
energy relative to the elements, uncorrected	-15.3	eV per formula unit
mass density	2.86	g/cm³


Record 4
VASP calculation (PBE) on crystalline NaBrF at its relaxed geometry.

a b c (Å): 4.5674 4.3697 10.1748
angles (deg): 126.92 102.94 89.99
Last column: nearest neighbours and their distance in Å.
Sites, in units of the cell vectors:
1 Na 0.7774 0.8268 0.5550  4 F 2.27-2.30
2 Na 0.2226 0.1732 0.4450  4 F 2.27-2.30
3 Br 0.4240 0.2696 0.8481  1 Br 2.38, 1 F 2.54
4 Br 0.5760 0.7304 0.1519  1 Br 2.38, 1 F 2.54
5 F 0.2614 0.7820 0.5230  4 Na 2.27-2.30
6 F 0.7386 0.2180 0.4770  4 Na 2.27-2.30

Properties
spin magnetization	0.00	Bohr magnetons per cell
SG	C2/m
E above lowest polymorph	0.000	eV per atom
energy relative to the elements, uncorrected	-5.2	eV per formula unit
mass density	2.60	g/cm³


Record 5
VASP calculation (PBE) on crystalline Na12Br3F5 at its relaxed geometry.

a b c (Å): 13.6571 13.6571 13.6571
angles (deg): 109.47 109.47 109.47
Last column: nearest neighbours and their distance in Å.
Sites, in units of the cell vectors:
1 Br 0.7500 0.3750 0.1250  8 Na 3.09-3.32
2 Br 0.8750 0.7500 0.1250  8 Na 3.09-3.32
3 Br 0.3750 0.7500 0.6250  8 Na 3.09-3.32
4 Br 0.2500 0.1250 0.3750  8 Na 3.09-3.32
5 Br 0.8750 0.1250 0.2500  8 Na 3.09-3.32
6 Br 0.3750 0.6250 0.2500  8 Na 3.09-3.32
7 Br 0.6250 0.3750 0.7500  8 Na 3.09-3.32
8 Br 0.1250 0.8750 0.7500  8 Na 3.09-3.32
9 Br 0.7500 0.8750 0.6250  8 Na 3.09-3.32
10 Br 0.6250 0.2500 0.3750  8 Na 3.09-3.32
11 Br 0.1250 0.2500 0.8750  8 Na 3.09-3.32
12 Br 0.2500 0.6250 0.8750  8 Na 3.09-3.32
13 F 0.1250 0.3750 0.2500  4 Na 2.23
14 F 0.0000 0.5000 0.0000  6 Na 2.51
15 F 0.0000 0.0000 0.0000  6 Na 2.51
16 F 0.3750 0.2500 0.1250  4 Na 2.23
17 F 0.5000 0.0000 0.5000  6 Na 2.51
18 F 0.5000 0.5000 0.0000  6 Na 2.51
19 F 0.1250 0.7500 0.3750  4 Na 2.23
20 F 0.7500 0.1250 0.8750  4 Na 2.23
21 F 0.7500 0.6250 0.3750  4 Na 2.23
22 F 0.3750 0.1250 0.7500  4 Na 2.23
23 F 0.6250 0.8750 0.2500  4 Na 2.23
24 F 0.5000 0.5000 0.5000  6 Na 2.51
25 F 0.5000 0.0000 0.0000  6 Na 2.51
26 F 0.0000 0.0000 0.5000  6 Na 2.51
27 F 0.2500 0.3750 0.6250  4 Na 2.23
28 F 0.2500 0.8750 0.1250  4 Na 2.23
29 F 0.0000 0.5000 0.5000  6 Na 2.51
30 F 0.8750 0.2500 0.6250  4 Na 2.23
31 F 0.6250 0.7500 0.8750  4 Na 2.23
32 F 0.8750 0.6250 0.7500  4 Na 2.23
33 Na 0.6922 0.1114 0.0070  1 F 2.23
34 Na 0.3148 0.5070 0.3956  1 F 2.23
35 Na 0.9930 0.3886 0.3078  1 F 2.23
36 Na 0.5070 0.1922 0.1114  1 F 2.23
37 Na 0.5808 0.6922 0.6852  1 F 2.23
38 Na 0.9930 0.6044 0.1852  1 F 2.23
39 Na 0.3148 0.8078 0.4192  1 F 2.23
40 Na 0.1044 0.9192 0.1114  1 F 2.23
41 Na 0.6044 0.9930 0.6852  1 F 2.23
42 Na 0.6922 0.5808 0.1852  1 F 2.23
43 Na 0.8078 0.4930 0.3886  1 F 2.23
44 Na 0.8148 0.8956 0.0070  1 F 2.23
45 Na 0.1114 0.6922 0.5070  1 F 2.23
46 Na 0.3886 0.3956 0.0808  1 F 2.23
47 Na 0.0808 0.8956 0.3886  1 F 2.23
48 Na 0.4192 0.1114 0.6044  1 F 2.23
49 Na 0.0808 0.1852 0.1922  1 F 2.23
50 Na 0.4930 0.6852 0.1044  1 F 2.23
51 Na 0.8148 0.9192 0.3078  1 F 2.23
52 Na 0.1114 0.4192 0.1044  1 F 2.23
53 Na 0.3886 0.9930 0.8078  1 F 2.23
54 Na 0.6044 0.6114 0.4192  1 F 2.23
55 Na 0.8956 0.8148 0.5070  1 F 2.23
56 Na 0.8078 0.3148 0.9192  1 F 2.23
57 Na 0.3956 0.3886 0.5808  1 F 2.23
58 Na 0.1044 0.1852 0.4930  1 F 2.23
59 Na 0.1922 0.6852 0.0808  1 F 2.23
60 Na 0.1852 0.0808 0.6922  1 F 2.23
61 Na 0.6114 0.0070 0.1922  1 F 2.23
62 Na 0.8886 0.5808 0.8956  1 F 2.23
63 Na 0.5070 0.3148 0.8956  1 F 2.23
64 Na 0.5808 0.8886 0.3956  1 F 2.23
65 Na 0.9192 0.8148 0.8078  1 F 2.23
66 Na 0.9192 0.1044 0.6114  1 F 2.23
67 Na 0.8886 0.3078 0.4930  1 F 2.23
68 Na 0.1852 0.1044 0.9930  1 F 2.23
69 Na 0.6114 0.6044 0.9192  1 F 2.23
70 Na 0.3956 0.0070 0.3148  1 F 2.23
71 Na 0.3078 0.4192 0.8148  1 F 2.23
72 Na 0.1922 0.5070 0.6114  1 F 2.23
73 Na 0.8956 0.0808 0.8886  1 F 2.23
74 Na 0.6852 0.1922 0.5808  1 F 2.23
75 Na 0.4930 0.8078 0.8886  1 F 2.23
76 Na 0.0070 0.3956 0.8148  1 F 2.23
77 Na 0.4192 0.3078 0.3148  1 F 2.23
78 Na 0.0070 0.6114 0.6922  1 F 2.23
79 Na 0.6852 0.4930 0.6044  1 F 2.23
80 Na 0.3078 0.8886 0.9930  1 F 2.23

Properties
spin magnetization	0.00	Bohr magnetons per cell
SG	Ia-3d
energy relative to the elements, uncorrected	-32.8	eV per formula unit
mass density	2.07	g/cm³


Record 6
VASP calculation (PBE) on crystalline NaBrF2 at its relaxed geometry.

a b c (Å): 4.4872 4.4872 4.4872
angles (deg): 60.00 60.00 60.00
Last column: nearest neighbours and their distance in Å.
Sites, in units of the cell vectors:
1 Na 0.0000 0.0000 0.0000  8 F 2.75
2 Br 0.5000 0.5000 0.5000  8 F 2.75
3 F 0.2500 0.2500 0.2500  4 Br 2.75, 4 Na 2.75
4 F 0.7500 0.7500 0.7500  4 Br 2.75, 4 Na 2.75

Properties
spin magnetization	2.00	Bohr magnetons per cell
SG	Fm-3m
E above lowest polymorph	0.617	eV per atom
energy relative to the elements, uncorrected	-4.3	eV per formula unit
mass density	3.66	g/cm³